No. 1
Compound: ZrReRh
Source: the Alexandria database
Functional: GGA-PBE
Structure: optimized geometry

The structure in POSCAR format:
```
ZrReRh
1.0
2.843 0.000 0.000
-1.421 2.462 0.000
0.000 0.000 7.173
Zr Re Rh
1 1 1
direct
0.000 0.000 0.000 Zr
0.667 0.333 0.360 Re
0.333 0.667 0.659 Rh
```

Fermi-level density of states, states/eV/cell: 4.2
DFT total energy, eV per atom: -9.371
Mass density, Mg/m³: 12.58
Distance to the lowest polymorph of the same formula, meV per atom: 286
ΔH_f (0 K), kcal/mol of atoms: 1.8
Symmetry: P3m1, No. 156

---

No. 2
Compound: Zr4ReRh
Source: the Alexandria database
Functional: GGA-PBE
Structure: optimized geometry

The structure in POSCAR format:
```
Zr4ReRh
1.0
7.969 0.000 0.000
0.000 4.613 0.000
-2.669 0.000 7.362
Zr Re Rh
8 2 2
direct
0.124 0.000 0.372 Zr
0.126 0.500 0.878 Zr
0.374 0.000 0.122 Zr
0.376 0.500 0.628 Zr
0.624 0.500 0.372 Zr
0.626 0.000 0.878 Zr
0.874 0.500 0.122 Zr
0.876 0.000 0.628 Zr
0.000 0.000 0.000 Re
0.500 0.500 0.000 Re
0.000 0.500 0.500 Rh
0.500 0.000 0.500 Rh
```

Fermi-level density of states, states/eV/cell: 13.9
DFT total energy, eV per atom: -9.135
Mass density, Mg/m³: 8.03
Distance to the lowest polymorph of the same formula, meV per atom: 209
ΔH_f (0 K), kcal/mol of atoms: -3.2
Symmetry: C2/m, No. 12

---

No. 3
Compound: Zr3ReRh
Source: the Alexandria database
Functional: GGA-PBE
Structure: optimized geometry

The structure in POSCAR format:
```
Zr3ReRh
1.0
4.903 0.000 0.000
0.000 4.903 0.000
0.000 0.000 4.903
Zr Re Rh
3 1 1
direct
0.000 0.000 0.500 Zr
0.000 0.500 0.000 Zr
0.500 0.000 0.000 Zr
0.500 0.500 0.500 Re
0.000 0.000 0.000 Rh
```

Fermi-level density of states, states/eV/cell: 6.4
DFT total energy, eV per atom: -8.270
Mass density, Mg/m³: 7.93
Distance to the lowest polymorph of the same formula, meV per atom: 80
ΔH_f (0 K), kcal/mol of atoms: 18.9
Symmetry: Pm-3m, No. 221